Here is a relaxed Sm2Sc4P3H2 crystal from the Alexandria database. Energies are from PBE-GGA.

The structure in POSCAR format:
```
Sm2Sc4P3H2
1.0
-2.0985 2.0985 10.9468
2.0985 -2.0985 10.9468
2.0985 2.0985 -10.9468
Sm Sc P H
2 4 3 2
Cartesian
0.0000 0.0000 4.3553
0.0000 0.0000 17.5383
2.0985 0.0000 1.6672
2.0985 0.0000 9.2797
0.0000 2.0985 1.6672
0.0000 2.0985 9.2797
0.0000 0.0000 7.3499
0.0000 0.0000 10.9468
0.0000 0.0000 14.5437
0.0000 0.0000 2.0051
0.0000 0.0000 19.8885
```

Total magnetic moment, μB per cell: 0.0
Volume, A^3/atom: 17.5
N(E_F), states/eV/cell: 7.3
E, eV/cell: -68.44

***

Here is a relaxed NaNiH3 crystal from the Alexandria database. Energies are from PBE-GGA.

The structure in POSCAR format:
```
NaNiH3
1.0
-1.6483 1.6483 8.8400
1.6483 -1.6483 8.8400
1.6483 1.6483 -8.8400
Na Ni H
2 2 6
Cartesian
0.0000 0.0000 1.8831
0.0000 0.0000 15.7970
0.0000 0.0000 8.8400
0.0000 1.6483 4.4200
1.6483 0.0000 0.0408
1.6483 0.9885 -3.2316
1.6483 0.0000 8.7992
0.0000 0.6599 5.6085
0.9885 1.6483 3.2316
0.6599 0.0000 12.0716
```

Total magnetic moment, μB per cell: 0.0
Volume, A^3/atom: 9.6
N(E_F), states/eV/cell: 1.8
E, eV/cell: -33.06

***

Here is a relaxed KPd2W crystal from the Alexandria database. Energies are from PBE-GGA.

The structure in POSCAR format:
```
KPd2W
1.0
6.6953 0.0000 0.0000
0.0000 6.6953 0.0000
0.0000 0.0000 6.6953
K Pd W
4 8 4
Cartesian
0.0000 0.0000 0.0000
0.0000 3.3477 3.3477
3.3477 0.0000 3.3477
3.3477 3.3477 0.0000
1.6738 1.6738 1.6738
1.6738 1.6738 5.0215
1.6738 5.0215 1.6738
1.6738 5.0215 5.0215
5.0215 1.6738 1.6738
5.0215 1.6738 5.0215
5.0215 5.0215 1.6738
5.0215 5.0215 5.0215
0.0000 0.0000 3.3477
0.0000 3.3477 0.0000
3.3477 0.0000 0.0000
3.3477 3.3477 3.3477
```

Total magnetic moment, μB per cell: 5.5
Volume, A^3/atom: 18.8
N(E_F), states/eV/cell: 15.9
E, eV/cell: -81.44

***

Here is a relaxed Tb6Nd5Pb crystal from the Alexandria database. Energies are from PBE-GGA.

The structure in POSCAR format:
```
Tb6Nd5Pb
1.0
9.3678 -1.8032 0.0000
9.3678 1.8032 0.0000
-4.1466 0.0000 11.6020
Tb Nd Pb
6 5 1
Cartesian
-1.0341 0.0000 3.0552
3.7262 0.0000 6.7729
5.9185 0.0000 0.9530
8.6704 0.0000 10.6490
10.8627 0.0000 4.8292
15.6229 0.0000 8.5469
0.2798 0.0000 7.6746
2.4413 0.0000 1.9829
9.3678 0.0000 0.0000
12.1476 0.0000 9.6192
14.3090 0.0000 3.9275
7.2944 0.0000 5.8010
```

Total magnetic moment, μB per cell: 0.0
Volume, A^3/atom: 32.7
N(E_F), states/eV/cell: 13.0
E, eV/cell: -56.16

***

Here is a relaxed HfZr2Pb crystal from the Alexandria database. Energies are from PBE-GGA.

The structure in POSCAR format:
```
HfZr2Pb
1.0
8.1524 0.0000 0.0000
0.0000 8.1524 0.0000
0.0000 0.0000 5.9580
Hf Zr Pb
4 8 4
Cartesian
0.0000 0.0000 0.0000
0.0000 4.0762 1.4895
4.0762 0.0000 4.4685
4.0762 4.0762 2.9790
1.9917 6.1143 3.7237
2.0381 1.9917 2.2342
2.0381 2.0845 5.2132
2.0845 6.1143 0.7447
6.0679 2.0381 0.7447
6.1143 6.0679 5.2132
6.1143 6.1607 2.2342
6.1607 2.0381 3.7237
0.0000 0.0000 2.9790
0.0000 4.0762 4.4685
4.0762 0.0000 1.4895
4.0762 4.0762 0.0000
```

Total magnetic moment, μB per cell: 0.0
Volume, A^3/atom: 24.7
N(E_F), states/eV/cell: 16.4
E, eV/cell: -116.74

***

Here is a relaxed HRh2Pb2 crystal from the Alexandria database. Energies are from PBE-GGA.

The structure in POSCAR format:
```
HRh2Pb2
1.0
5.1716 -1.7275 0.0000
5.1716 1.7275 0.0000
-3.3377 0.0000 9.2702
H Rh Pb
2 4 4
Cartesian
-0.2813 0.0000 2.9239
7.2868 0.0000 6.3463
0.8559 0.0000 1.4782
2.6036 0.0000 5.8079
4.4019 0.0000 3.4624
6.1496 0.0000 7.7920
-0.2305 0.0000 5.7811
3.7624 0.0000 0.7558
3.2431 0.0000 8.5144
7.2360 0.0000 3.4891
```

Total magnetic moment, μB per cell: 0.0
Volume, A^3/atom: 16.6
N(E_F), states/eV/cell: 4.5
E, eV/cell: -51.28

***

Here is a relaxed Na2YSi2O6 crystal from the Alexandria database. Energies are from PBE-GGA.

The structure in POSCAR format:
```
Na2YSi2O6
1.0
5.5881 0.0000 0.0000
-2.7940 4.8394 0.0000
0.0000 0.0000 7.2602
Na Y Si O
2 1 2 6
Cartesian
0.0000 3.2263 2.1614
2.7940 1.6131 5.0987
0.0000 0.0000 0.0000
0.0000 3.2263 5.7553
2.7940 1.6131 1.5049
-1.5802 3.4180 5.9366
0.6241 1.7620 5.9366
1.8379 0.3405 1.3236
0.9561 4.4989 5.9366
2.1700 3.0774 1.3236
4.3742 1.4214 1.3236
```

Total magnetic moment, μB per cell: 0.8
Volume, A^3/atom: 17.8
Formation energy (no corrections), meV/atom: -2362
N(E_F), states/eV/cell: 1.5
E, eV/cell: -75.68

***

Here is a relaxed Er2TiZn crystal from the Alexandria database. Energies are from PBE-GGA.

The structure in POSCAR format:
```
Er2TiZn
1.0
3.2747 0.0000 0.0000
-1.6373 2.8360 0.0000
0.0000 0.0000 31.9792
Er Ti Zn
6 3 3
Cartesian
0.0000 0.0000 2.9721
0.0000 0.0000 29.0071
0.0000 1.8906 18.3474
0.0000 1.8906 24.2915
1.6373 0.9453 7.6877
1.6373 0.9453 13.6318
0.0000 0.0000 0.0000
0.0000 1.8906 21.3195
1.6373 0.9453 10.6597
0.0000 0.0000 15.9896
0.0000 1.8906 5.3299
1.6373 0.9453 26.6493
```

Total magnetic moment, μB per cell: 7.8
Volume, A^3/atom: 24.7
N(E_F), states/eV/cell: 15.9
E, eV/cell: -50.62

***

Here is a relaxed PuZrTe2 crystal from the Alexandria database. Energies are from PBE-GGA.

The structure in POSCAR format:
```
PuZrTe2
1.0
7.3411 0.0000 0.0000
0.0000 7.3411 0.0000
0.0000 0.0000 7.3411
Pu Zr Te
4 4 8
Cartesian
0.0000 0.0000 0.0000
0.0000 3.6705 3.6705
3.6705 0.0000 3.6705
3.6705 3.6705 0.0000
0.0000 0.0000 3.6705
0.0000 3.6705 0.0000
3.6705 0.0000 0.0000
3.6705 3.6705 3.6705
1.8353 1.8353 1.8353
1.8353 1.8353 5.5058
1.8353 5.5058 1.8353
1.8353 5.5058 5.5058
5.5058 1.8353 1.8353
5.5058 1.8353 5.5058
5.5058 5.5058 1.8353
5.5058 5.5058 5.5058
```

Total magnetic moment, μB per cell: 22.3
Volume, A^3/atom: 24.7
Formation energy (no corrections), meV/atom: -773
N(E_F), states/eV/cell: 28.9
E, eV/cell: -129.03

***

Here is a relaxed TaPb2W2 crystal from the Alexandria database. Energies are from PBE-GGA.

The structure in POSCAR format:
```
TaPb2W2
1.0
6.8859 0.0000 0.0000
0.0000 6.8859 0.0000
0.0000 0.0000 4.5382
Ta Pb W
2 4 4
Cartesian
0.0000 0.0000 0.0000
3.4429 3.4429 0.0000
1.2333 2.2097 2.2691
2.2097 5.6526 2.2691
4.6762 1.2333 2.2691
5.6526 4.6762 2.2691
0.8956 4.3385 0.0000
2.5474 0.8956 0.0000
4.3385 5.9903 0.0000
5.9903 2.5474 0.0000
```

Total magnetic moment, μB per cell: 0.0
Volume, A^3/atom: 21.5
N(E_F), states/eV/cell: 8.2
E, eV/cell: -80.05

***

Here is a relaxed Ca8Pd2Rh crystal from the Alexandria database. Energies are from PBE-GGA.

The structure in POSCAR format:
```
Ca8Pd2Rh
1.0
4.3402 -6.5261 0.0000
4.3402 6.5261 0.0000
-2.2642 0.0000 5.9442
Ca Pd Rh
8 2 1
Cartesian
0.0000 0.0000 0.0000
-0.0518 1.7280 3.3155
2.5561 2.6374 1.0054
-0.0518 -1.7280 3.3155
3.0993 1.6849 4.5478
2.5561 -2.6374 1.0054
3.0993 -1.6849 4.5478
5.2256 0.0000 2.2297
1.5515 4.1084 4.1927
1.5515 -4.1084 4.1927
2.1069 0.0000 2.2734
```

Total magnetic moment, μB per cell: 0.0
Volume, A^3/atom: 30.6
N(E_F), states/eV/cell: 5.7
E, eV/cell: -37.76

***

Here is a relaxed Pm2Nd5Sc2 crystal from the Alexandria database. Energies are from PBE-GGA.

The structure in POSCAR format:
```
Pm2Nd5Sc2
1.0
-2.7889 10.5371 5.0337
2.7889 -10.5371 5.0337
2.7889 10.5371 -5.0337
Pm Nd Sc
4 10 4
Cartesian
0.0000 0.0000 0.0000
2.7889 5.2686 0.5839
0.0000 10.5371 0.0000
0.0000 5.2686 4.4498
2.7889 -2.3309 1.3735
2.7889 -5.2686 3.4214
2.7889 8.2062 -1.3735
0.0000 3.2981 1.2975
0.0000 7.2391 1.2975
2.7889 3.2981 3.7362
2.7889 7.2391 3.7362
0.0000 2.3309 6.4072
0.0000 15.8057 1.6123
0.0000 12.8680 3.6602
2.7889 0.9537 1.6284
0.0000 0.9537 3.4053
2.7889 9.5834 1.6284
0.0000 9.5834 3.4053
```

Total magnetic moment, μB per cell: 0.0
Volume, A^3/atom: 32.9
N(E_F), states/eV/cell: 28.6
E, eV/cell: -90.07

***

Here is a relaxed Na2AgPt3 crystal from the Alexandria database. Energies are from PBE-GGA.

The structure in POSCAR format:
```
Na2AgPt3
1.0
9.2643 0.0000 0.0000
0.0000 5.3658 0.0000
-3.0937 0.0000 4.5760
Na Ag Pt
4 2 6
Cartesian
-0.0023 0.0000 1.6804
1.5408 2.6829 2.8956
4.6299 2.6829 1.6804
6.1730 0.0000 2.8956
-1.5468 2.6829 2.2880
3.0853 0.0000 2.2880
0.0000 2.6829 0.0000
2.3161 1.3415 0.0000
2.3161 4.0244 0.0000
4.6322 0.0000 0.0000
6.9483 1.3415 0.0000
6.9483 4.0244 0.0000
```

Total magnetic moment, μB per cell: 0.0
Volume, A^3/atom: 19.0
N(E_F), states/eV/cell: 4.3
E, eV/cell: -50.40

***

Here is a relaxed Dy2ZrIn3 crystal from the Alexandria database. Energies are from PBE-GGA.

The structure in POSCAR format:
```
Dy2ZrIn3
1.0
4.7778 0.0000 0.0000
0.0000 14.2795 0.0000
0.0000 0.0000 4.3727
Dy Zr In
4 2 6
Cartesian
0.0000 2.3669 0.0000
0.0000 11.9127 0.0000
2.3889 4.7729 0.0000
2.3889 9.5067 0.0000
0.0000 7.1398 0.0000
2.3889 0.0000 0.0000
0.0000 0.0000 2.1864
0.0000 4.8493 2.1864
0.0000 9.4303 2.1864
2.3889 2.2905 2.1864
2.3889 7.1398 2.1864
2.3889 11.9890 2.1864
```

Total magnetic moment, μB per cell: 0.0
Volume, A^3/atom: 24.9
N(E_F), states/eV/cell: 10.9
E, eV/cell: -56.39

***

Here is a relaxed Pm3Er7In2 crystal from the Alexandria database. Energies are from PBE-GGA.

The structure in POSCAR format:
```
Pm3Er7In2
1.0
5.6315 0.0000 0.0000
0.0000 3.5911 0.0000
-1.1317 0.0000 18.3478
Pm Er In
3 7 2
Cartesian
0.0000 0.0000 0.0000
0.8373 1.7955 11.6460
3.6625 1.7955 6.7018
0.8181 1.7955 2.7285
0.8409 0.0000 8.4054
0.8747 0.0000 15.2281
2.8157 1.7955 0.0000
3.6251 0.0000 3.1198
3.6589 0.0000 9.9425
3.6817 1.7955 15.6193
0.8327 0.0000 5.3303
3.6671 0.0000 13.0176
```

Total magnetic moment, μB per cell: 0.0
Volume, A^3/atom: 30.9
N(E_F), states/eV/cell: 13.3
E, eV/cell: -52.34

***

Here is a relaxed TaSnI2 crystal from the Alexandria database. Energies are from PBE-GGA.

The structure in POSCAR format:
```
TaSnI2
1.0
7.3453 0.0000 0.0000
0.0000 7.3453 0.0000
0.0000 0.0000 7.3453
Ta Sn I
4 4 8
Cartesian
0.0000 0.0000 0.0000
0.0000 3.6726 3.6726
3.6726 0.0000 3.6726
3.6726 3.6726 0.0000
0.0000 0.0000 3.6726
0.0000 3.6726 0.0000
3.6726 0.0000 0.0000
3.6726 3.6726 3.6726
1.8363 1.8363 1.8363
1.8363 1.8363 5.5090
1.8363 5.5090 1.8363
1.8363 5.5090 5.5090
5.5090 1.8363 1.8363
5.5090 1.8363 5.5090
5.5090 5.5090 1.8363
5.5090 5.5090 5.5090
```

Total magnetic moment, μB per cell: 0.0
Volume, A^3/atom: 24.8
Formation energy (no corrections), meV/atom: 791
N(E_F), states/eV/cell: 11.5
E, eV/cell: -63.17

***

Here is a relaxed NdTh3Sc4 crystal from the Alexandria database. Energies are from PBE-GGA.

The structure in POSCAR format:
```
NdTh3Sc4
1.0
3.7240 0.0000 0.0000
0.0000 5.5346 0.0000
0.0000 0.0000 11.0751
Nd Th Sc
1 3 4
Cartesian
0.0000 0.0000 0.0000
0.0000 0.0000 5.5375
0.0000 2.7673 2.7635
0.0000 2.7673 8.3116
1.8620 0.0000 2.8237
1.8620 0.0000 8.2514
1.8620 2.7673 0.0000
1.8620 2.7673 5.5375
```

Total magnetic moment, μB per cell: 0.0
Volume, A^3/atom: 28.5
N(E_F), states/eV/cell: 8.3
E, eV/cell: -51.95

***

Here is a relaxed CsScGeS4 crystal from the Alexandria database. Energies are from PBE-GGA.

The structure in POSCAR format:
```
CsScGeS4
1.0
6.3137 0.0000 0.0000
0.0000 6.7980 0.0000
-3.1242 0.0000 8.9347
Cs Sc Ge S
2 2 2 8
Cartesian
0.1481 1.6995 3.9690
3.0414 5.0985 4.9658
-1.1649 1.6995 8.5421
4.3544 5.0985 0.3927
1.2003 5.0985 1.3254
1.9892 1.6995 7.6093
-2.7706 5.0985 8.2423
-0.5491 5.0985 2.6644
0.5325 0.0013 7.3227
0.5325 3.3977 7.3227
2.6570 6.7967 1.6120
2.6570 3.4003 1.6120
3.7386 1.6995 6.2703
5.9601 1.6995 0.6924
```

Total magnetic moment, μB per cell: 0.0
Volume, A^3/atom: 27.4
Formation energy (no corrections), meV/atom: -1153
N(E_F), states/eV/cell: 0.0
E, eV/cell: -72.77

***

Here is a relaxed SrLi2Br2 crystal from the Alexandria database. Energies are from PBE-GGA.

The structure in POSCAR format:
```
SrLi2Br2
1.0
4.9245 0.0000 0.0000
0.0000 4.9245 0.0000
0.0000 0.0000 11.0259
Sr Li Br
2 4 4
Cartesian
0.0000 0.0000 0.0000
2.4622 2.4622 5.5129
0.0000 0.0000 3.9384
0.0000 0.0000 7.0874
2.4622 2.4622 1.5745
2.4622 2.4622 9.4514
0.0000 2.4622 2.7565
0.0000 2.4622 8.2694
2.4622 0.0000 2.7565
2.4622 0.0000 8.2694
```

Total magnetic moment, μB per cell: 0.0
Volume, A^3/atom: 26.7
Formation energy (no corrections), meV/atom: -1030
N(E_F), states/eV/cell: 0.0
E, eV/cell: -28.02

***

Here is a relaxed LiTiCu2Ge crystal from the Alexandria database. Energies are from PBE-GGA.

The structure in POSCAR format:
```
LiTiCu2Ge
1.0
4.7446 0.0000 0.0000
0.0000 4.7446 0.0000
0.0000 0.0000 4.8817
Li Ti Cu Ge
1 1 2 1
Cartesian
0.0000 0.0000 0.0000
2.3723 2.3723 2.4408
0.0000 2.3723 2.4408
2.3723 0.0000 2.4408
2.3723 2.3723 0.0000
```

Total magnetic moment, μB per cell: 0.0
Volume, A^3/atom: 22.0
N(E_F), states/eV/cell: 6.2
E, eV/cell: -19.03